No. 1
Here is crystalline MgSi2 at its relaxed geometry from Alexandria via LeMat-Bulk. Energies are from PBE.

Cell lengths 11.0730, 11.0730, 5.4976 Å; angles 85.10, 85.10, 18.55 degrees
Element x y z (fractional)
Mg 0.0661 0.0661 0.4823
Mg 0.6798 0.6798 0.6856
Mg 0.3227 0.3227 0.6477
Mg 0.5055 0.5055 0.0002
Si 0.7645 0.7645 0.0231
Si 0.6518 0.6518 0.1912
Si 0.9192 0.9192 0.7700
Si 0.9121 0.9121 0.2477
Si 0.1040 0.1040 0.9639
Si 0.2298 0.2298 0.3413
Si 0.3358 0.3358 0.1397
Si 0.4646 0.4646 0.5068

Computed properties:
The crystal system is monoclinic. The uncorrected formation energy is 0.135 eV per atom. The value obtained for the energy above the most stable polymorph in this dataset is 111.2 meV per atom.

=====

No. 2
Here is crystalline Mg3Si2 at its relaxed geometry from Alexandria via LeMat-Bulk. Energies are from PBE.

Cell lengths 7.8999, 7.8999, 7.2541 Å; angles 87.55, 87.55, 26.73 degrees
Element x y z (fractional)
Mg 0.4994 0.4994 0.7464
Mg 0.5006 0.5006 0.2536
Mg 0.8646 0.8646 0.0322
Mg 0.1354 0.1354 0.9678
Mg 0.3104 0.3104 0.3725
Mg 0.6896 0.6896 0.6275
Si 0.3045 0.3045 0.7768
Si 0.6955 0.6955 0.2232
Si 0.8814 0.8814 0.6156
Si 0.1186 0.1186 0.3844

Computed properties:
The crystal system is monoclinic. The uncorrected formation energy is 0.065 eV per atom.

=====

No. 3
Here is crystalline Mg6Si5 at its relaxed geometry from Alexandria via LeMat-Bulk. Energies are from PBE.

Cell lengths 3.9133, 6.8817, 15.6938 Å; angles 87.24, 90.00, 90.00 degrees
Element x y z (fractional)
Mg 0.0000 0.3390 0.0342
Mg 0.5000 0.7116 0.4933
Mg 0.0000 0.5500 0.3490
Mg 0.0000 0.8647 0.6345
Mg 0.0000 0.4134 0.7886
Mg 0.5000 0.5683 0.1617
Mg 0.0000 0.0371 0.4248
Mg 0.0000 0.3797 0.5816
Mg 0.5000 0.5780 0.9270
Mg 0.5000 0.0681 0.1241
Mg 0.0000 0.8203 0.0319
Mg 0.5000 0.1196 0.9101
Si 0.5000 0.0863 0.5541
Si 0.5000 0.3427 0.4473
Si 0.0000 0.2650 0.2157
Si 0.5000 0.8384 0.7621
Si 0.5000 0.5688 0.6680
Si 0.5000 0.8511 0.3155
Si 0.0000 0.8557 0.2151
Si 0.5000 0.1935 0.7012
Si 0.0000 0.8379 0.8564
Si 0.5000 0.2145 0.3073

Computed properties:
The crystal system is monoclinic. The uncorrected formation energy is 0.062 eV per atom. The value obtained for the energy above the most stable polymorph in this dataset is 65.4 meV per atom.

=====

No. 4
Here is crystalline MgSi2 at its relaxed geometry from Alexandria via LeMat-Bulk. Energies are from PBE.

Cell lengths 5.4373, 5.4373, 6.8561 Å; angles 58.80, 58.80, 39.38 degrees
Element x y z (fractional)
Mg 0.4235 0.4235 0.3600
Mg 0.5765 0.5765 0.6400
Si 0.8097 0.8097 0.7368
Si 0.1903 0.1903 0.2632
Si 0.8678 0.8678 0.0510
Si 0.1322 0.1322 0.9490

Computed properties:
The crystal system is monoclinic. The uncorrected formation energy is 0.100 eV per atom. The value obtained for the energy above the most stable polymorph in this dataset is 76.2 meV per atom.

=====

No. 5
Here is crystalline MgSi2 at its relaxed geometry from Alexandria via LeMat-Bulk. Energies are from PBE.

Cell lengths 3.7732, 6.2709, 10.4761 Å; angles 73.73, 90.00, 90.00 degrees
Element x y z (fractional)
Mg 0.2745 0.1821 0.7616
Mg 0.2664 0.3471 0.2458
Mg 0.7664 0.6529 0.7542
Mg 0.7745 0.8179 0.2384
Si 0.2573 0.5883 0.4355
Si 0.7983 0.9394 0.9500
Si 0.2688 0.4432 0.9490
Si 0.6445 0.0336 0.5604
Si 0.1445 0.9664 0.4396
Si 0.7688 0.5568 0.0510
Si 0.2983 0.0606 0.0500
Si 0.7573 0.4118 0.5645

Computed properties:
The crystal system is monoclinic. The uncorrected formation energy is 0.084 eV per atom. The value obtained for the energy above the most stable polymorph in this dataset is 60.0 meV per atom.

=====

No. 6
Here is crystalline MgSi2 at its relaxed geometry from Alexandria via LeMat-Bulk. Energies are from PBE.

Cell lengths 5.2405, 5.2405, 9.9268 Å; angles 85.31, 85.31, 49.79 degrees
Element x y z (fractional)
Mg 0.1232 0.1232 0.0937
Mg 0.8768 0.8768 0.9063
Mg 0.7571 0.7571 0.6141
Mg 0.2429 0.2429 0.3859
Si 0.5850 0.5850 0.8985
Si 0.4150 0.4150 0.1015
Si 0.5483 0.5483 0.2955
Si 0.0585 0.0585 0.6187
Si 0.7952 0.7952 0.1915
Si 0.2048 0.2048 0.8085
Si 0.4517 0.4517 0.7045
Si 0.9415 0.9415 0.3813

Computed properties:
The crystal system is monoclinic. The uncorrected formation energy is 0.111 eV per atom. The value obtained for the energy above the most stable polymorph in this dataset is 87.1 meV per atom.

=====

No. 7
Here is crystalline Mg5Si9 at its relaxed geometry from Alexandria via LeMat-Bulk. Energies are from PBE.

Cell lengths 7.0565, 7.0490, 12.6353 Å; angles 91.32, 100.69, 117.69 degrees
Element x y z (fractional)
Mg 0.4440 0.4281 0.7052
Mg 0.7077 0.7603 0.4431
Mg 0.5552 0.1512 0.5211
Mg 0.2529 0.7302 0.3546
Mg 0.0164 0.6193 0.5883
Mg 0.1731 0.3074 0.4615
Mg 0.5775 0.7152 0.0728
Mg 0.3011 0.2903 0.9282
Mg 0.3614 0.0149 0.1174
Mg 0.6278 0.0529 0.9044
Si 0.0763 0.3830 0.0972
Si 0.7744 0.5072 0.9032
Si 0.3175 0.1376 0.3212
Si 0.7586 0.9779 0.6994
Si 0.6716 0.0378 0.2984
Si 0.2254 0.9321 0.7844
Si 0.7461 0.5728 0.2419
Si 0.1950 0.5642 0.7927
Si 0.9376 0.9544 0.2433
Si 0.0611 0.0233 0.6188
Si 0.9114 0.8678 0.8600
Si 0.9719 0.0185 0.0448
Si 0.3716 0.4686 0.2548
Si 0.7981 0.3347 0.7323
Si 0.7147 0.3702 0.0771
Si 0.1797 0.6439 0.9753
Si 0.4303 0.7336 0.5738
Si 0.8416 0.4023 0.3847

Computed properties:
The crystal system is triclinic. The uncorrected formation energy is 0.130 eV per atom. The value obtained for the energy above the most stable polymorph in this dataset is 31.7 meV per atom.

=====

No. 8
Here is crystalline Mg5Si9 at its relaxed geometry from Alexandria via LeMat-Bulk. Energies are from PBE.

Cell lengths 6.8827, 7.2118, 12.6798 Å; angles 85.31, 102.12, 116.03 degrees
Element x y z (fractional)
Mg 0.4671 0.9488 0.7191
Mg 0.8756 0.0934 0.4369
Mg 0.1013 0.5906 0.5393
Mg 0.6536 0.4354 0.3782
Mg 0.6253 0.6613 0.5706
Mg 0.3225 0.0573 0.4662
Mg 0.8217 0.2471 0.1683
Mg 0.3467 0.1873 0.8889
Mg 0.1653 0.7726 0.1300
Mg 0.9141 0.4060 0.9409
Si 0.3539 0.2603 0.1410
Si 0.5011 0.6563 0.8970
Si 0.9492 0.8010 0.3281
Si 0.0113 0.1936 0.7095
Si 0.2624 0.4727 0.2414
Si 0.9691 0.7304 0.7835
Si 0.5829 0.7967 0.2662
Si 0.6534 0.3938 0.7436
Si 0.7906 0.8065 0.1386
Si 0.0549 0.9284 0.6225
Si 0.8380 0.9411 0.8524
Si 0.9863 0.0862 0.0317
Si 0.4886 0.0704 0.2822
Si 0.3614 0.5013 0.7240
Si 0.2660 0.7888 0.9333
Si 0.6340 0.4853 0.0436
Si 0.7318 0.2721 0.5947
Si 0.2715 0.4148 0.4280

Computed properties:
The crystal system is triclinic. The uncorrected formation energy is 0.100 eV per atom. The value obtained for the energy above the most stable polymorph in this dataset is 2.6 meV per atom.

=====

No. 9
Here is crystalline MgSi2 at its relaxed geometry from Alexandria via LeMat-Bulk. Energies are from PBE.

Cell lengths 3.7634, 5.5301, 11.8757 Å; angles 81.66, 81.90, 108.89 degrees
Element x y z (fractional)
Mg 0.8558 0.2338 0.1368
Mg 0.0776 0.7476 0.8701
Mg 0.9042 0.2001 0.6626
Mg 0.0754 0.8613 0.3180
Si 0.4170 0.3598 0.8186
Si 0.5073 0.5906 0.1873
Si 0.3205 0.4366 0.4017
Si 0.8256 0.7030 0.6576
Si 0.1708 0.8283 0.0886
Si 0.7540 0.1393 0.9232
Si 0.4062 0.7396 0.5301
Si 0.6854 0.1599 0.4056

Computed properties:
The crystal system is triclinic. The uncorrected formation energy is 0.110 eV per atom. The value obtained for the energy above the most stable polymorph in this dataset is 86.5 meV per atom.

=====

No. 10
Here is crystalline MgSi2 at its relaxed geometry from Alexandria via LeMat-Bulk. Energies are from PBE.

Cell lengths 3.7461, 6.7115, 9.6108 Å; angles 73.45, 90.00, 90.00 degrees
Element x y z (fractional)
Mg 0.5000 0.7991 0.1593
Mg 0.5000 0.7010 0.8412
Mg 0.0000 0.4229 0.7057
Mg 0.0000 0.0775 0.2944
Si 0.5000 0.1202 0.8187
Si 0.0000 0.4207 0.0225
Si 0.5000 0.4312 0.4192
Si 0.0000 0.8425 0.5929
Si 0.5000 0.3807 0.1808
Si 0.0000 0.0780 0.9772
Si 0.5000 0.0687 0.5808
Si 0.0000 0.6576 0.4071

Computed properties:
The crystal system is monoclinic. The uncorrected formation energy is 0.107 eV per atom. The value obtained for the energy above the most stable polymorph in this dataset is 83.6 meV per atom.

=====

No. 11
Here is crystalline MgSi2 at its relaxed geometry from Alexandria via LeMat-Bulk. Energies are from PBE.

Cell lengths 11.9764, 11.9764, 5.3885 Å; angles 81.99, 81.99, 17.84 degrees
Element x y z (fractional)
Mg 0.6138 0.6138 0.0380
Mg 0.3862 0.3862 0.9620
Mg 0.7803 0.7803 0.2559
Mg 0.2197 0.2197 0.7441
Si 0.4570 0.4570 0.4001
Si 0.5430 0.5430 0.5999
Si 0.6479 0.6479 0.5054
Si 0.3521 0.3521 0.4946
Si 0.0433 0.0433 0.8670
Si 0.9567 0.9567 0.1330
Si 0.8119 0.8119 0.7435
Si 0.1881 0.1881 0.2565

Computed properties:
The crystal system is monoclinic. The uncorrected formation energy is 0.070 eV per atom. The value obtained for the energy above the most stable polymorph in this dataset is 46.7 meV per atom.

=====

No. 12
Here is crystalline Mg6Si5 at its relaxed geometry from Alexandria via LeMat-Bulk. Energies are from PBE.

Cell lengths 3.9168, 6.9852, 16.0584 Å; angles 101.02, 96.91, 89.87 degrees
Element x y z (fractional)
Mg 0.7655 0.3205 0.0572
Mg 0.4886 0.9003 0.5027
Mg 0.9178 0.6517 0.3558
Mg 0.0647 0.1531 0.6503
Mg 0.6496 0.2427 0.8215
Mg 0.3340 0.5807 0.1883
Mg 0.9539 0.1841 0.4288
Mg 0.0261 0.6152 0.5749
Mg 0.2234 0.5528 0.9720
Mg 0.2918 0.9634 0.1079
Mg 0.6794 0.7729 0.8831
Mg 0.2081 0.0901 0.9415
Si 0.5160 0.2969 0.5540
Si 0.4644 0.5027 0.4498
Si 0.8476 0.2551 0.2174
Si 0.1323 0.5259 0.7876
Si 0.5776 0.8606 0.6781
Si 0.4024 0.9423 0.3276
Si 0.8524 0.8882 0.2264
Si 0.1256 0.9033 0.7763
Si 0.5860 0.5056 0.6937
Si 0.3925 0.2991 0.3087

Computed properties:
The crystal system is triclinic. The uncorrected formation energy is 0.081 eV per atom. The value obtained for the energy above the most stable polymorph in this dataset is 84.6 meV per atom.

=====

| no. | E (eV/atom) |
| --- | --- |
| 1 | -4.01 |
| 2 | -3.06 |
| 3 | -3.27 |
| 4 | -4.05 |
| 5 | -4.06 |
| 6 | -4.04 |
| 7 | -3.93 |
| 8 | -3.96 |
| 9 | -4.04 |
| 10 | -4.04 |
| 11 | -4.08 |
| 12 | -3.25 |